Here is an optimized crystal structure of La3SmTh3Se8 from Alexandria. Energies are from GGA-PBE.

Symmetry: No. 166
Formation energy without anion corrections, eV/atom: -1.812

```
15
Lattice="4.213 2.432 6.993 -4.213 2.432 6.993 0.000 -4.865 6.993" Properties=species:S:1:pos:R:3 pbc="T T T"
La -2.107 -1.216 6.993
La -2.106 1.216 13.987
La 0.000 2.432 6.993
Sm 0.000 0.000 10.490
Th -4.213 0.000 10.490
Th -2.106 1.216 3.497
Th 2.107 1.216 3.497
Se -2.141 -1.236 12.213
Se 0.000 0.000 5.216
Se 0.000 -2.472 8.767
Se -2.141 1.236 8.767
Se 2.141 -1.236 12.213
Se 0.000 2.472 12.213
Se 0.000 0.000 15.763
Se 2.141 1.236 8.767
```

---

Here is an optimized crystal structure of LaBC2 from Alexandria. Energies are from GGA-PBE.

Symmetry: No. 141
Uncorrected energy, eV for the cell shown: -57.72

```
8
Lattice="-2.136 2.136 5.088 2.136 -2.136 5.088 2.136 2.136 -5.088" Properties=species:S:1:pos:R:3 pbc="T T T"
La 2.136 1.068 1.272
La 0.000 1.068 3.816
B 2.136 -1.068 3.816
B 0.000 3.203 1.272
C 0.000 0.000 0.000
C 1.068 1.068 -2.544
C 1.068 -1.068 2.544
C 0.000 2.136 0.000
```

---

Here is an optimized crystal structure of PrPaMn2S8 from Alexandria. Energies are from GGA-PBE.

Symmetry: No. 82
Formation energy without anion corrections, eV/atom: -0.905

```
12
Lattice="-3.173 3.173 6.614 3.173 -3.173 6.614 3.173 3.173 -6.614" Properties=species:S:1:pos:R:3 pbc="T T T"
Pr 0.000 0.000 0.000
Pa 3.173 0.000 3.307
Mn 0.000 0.000 6.614
Mn 0.000 3.173 3.307
S 1.739 -0.863 5.576
S 2.310 1.433 1.038
S -1.036 1.398 2.397
S 1.433 4.036 -1.038
S 1.774 2.137 4.217
S 0.863 1.739 7.652
S 1.036 4.947 2.397
S -1.774 4.208 4.217
```

---

Here is an optimized crystal structure of PrSm2N2 from Alexandria. Energies are from GGA-PBE.

Symmetry: No. 12
Formation energy without anion corrections, eV/atom: -1.110
Relative energy among the computed polymorphs, meV/atom: 8

```
10
Lattice="5.762 -2.548 0.000 5.762 2.548 0.000 -2.434 0.000 6.997" Properties=species:S:1:pos:R:3 pbc="T T T"
Pr 1.590 0.000 0.657
Pr 7.500 0.000 6.339
Sm 0.479 0.000 3.985
Sm 5.040 0.000 1.892
Sm 4.050 0.000 5.105
Sm 8.611 0.000 3.012
N -0.591 0.000 1.812
N 2.862 0.000 2.956
N 6.228 0.000 4.041
N 9.681 0.000 5.185
```

---

Here is an optimized crystal structure of Li4Sn3O8 from Alexandria. Energies are from GGA-PBE.

Symmetry: No. 166
Formation energy without anion corrections, eV/atom: -1.793

```
15
Lattice="3.125 1.804 5.252 -3.125 1.804 5.252 0.000 -3.608 5.252" Properties=species:S:1:pos:R:3 pbc="T T T"
Li 0.000 0.000 0.000
Li 0.000 0.000 2.197
Li 0.000 0.000 7.878
Li 0.000 0.000 13.559
Sn -1.562 -0.902 5.252
Sn -1.562 0.902 10.504
Sn 0.000 1.804 5.252
O 0.000 -1.735 6.376
O -1.503 0.868 6.376
O 0.000 0.000 4.111
O -1.503 -0.868 9.380
O 1.503 0.868 6.376
O 0.000 0.000 11.645
O 1.503 -0.868 9.380
O 0.000 1.735 9.380
```

---

Here is an optimized crystal structure of BeZn2Si from Alexandria. Energies are from GGA-PBE.

Symmetry: No. 99
Formation energy without anion corrections, eV/atom: 0.264

```
4
Lattice="2.672 0.000 0.000 0.000 2.672 0.000 0.000 0.000 7.448" Properties=species:S:1:pos:R:3 pbc="T T T"
Be 0.000 0.000 0.000
Zn 0.000 0.000 3.725
Zn 1.336 1.336 5.783
Si 1.336 1.336 1.559
```